VASP calculation (GGA-PBE) on a geometry-optimized Rb2ScW structure.

a = 4.3139 Å, b = 4.3139 Å, c = 26.4886 Å
α = 90.00°, β = 90.00°, γ = 90.00°
Fractional coordinates of all 16 atoms:
Rb 0.2477 0.2500 0.1250
Rb 0.2500 0.7477 0.3750
Rb 0.2500 0.7523 0.8750
Rb 0.2523 0.2500 0.6250
Rb 0.7477 0.7500 0.6250
Rb 0.7500 0.2477 0.8750
Rb 0.7500 0.2523 0.3750
Rb 0.7523 0.7500 0.1250
Sc 0.0000 0.0000 0.5000
Sc 0.0000 0.5000 0.7500
Sc 0.5000 0.0000 0.2500
Sc 0.5000 0.5000 0.0000
W 0.0000 0.0000 0.0000
W 0.0000 0.5000 0.2500
W 0.5000 0.0000 0.7500
W 0.5000 0.5000 0.5000

Calculated values
The density comes out at 5.4 g cm⁻³. The relative energy among the computed polymorphs is 0.000 eV/f.u. The space group is I-42d. The total energy is -57.771 eV per cell. The value obtained for the formation energy is 1.694 eV/atom.

VASP calculation (GGA-PBE) on a geometry-optimized Cd2FeOs structure.

a = 6.4399 Å, b = 6.4399 Å, c = 6.4399 Å
α = 90.00°, β = 90.00°, γ = 90.00°
Fractional coordinates of all 16 atoms:
Cd 0.2500 0.2500 0.2500
Cd 0.2500 0.2500 0.7500
Cd 0.2500 0.7500 0.2500
Cd 0.2500 0.7500 0.7500
Cd 0.7500 0.2500 0.2500
Cd 0.7500 0.2500 0.7500
Cd 0.7500 0.7500 0.2500
Cd 0.7500 0.7500 0.7500
Fe 0.0000 0.0000 0.0000
Fe 0.0000 0.5000 0.5000
Fe 0.5000 0.0000 0.5000
Fe 0.5000 0.5000 0.0000
Os 0.0000 0.0000 0.5000
Os 0.0000 0.5000 0.0000
Os 0.5000 0.0000 0.0000
Os 0.5000 0.5000 0.5000

Calculated values
The density comes out at 11.7 g cm⁻³. The relative energy among the computed polymorphs is 1.800 eV/f.u. The space group is Fm-3m. The total energy is -74.740 eV per cell. The value obtained for the formation energy is 0.709 eV/atom.

VASP calculation (GGA-PBE) on a geometry-optimized TbHo2Cu2Si2 structure.

a = 10.8318 Å, b = 10.8318 Å, c = 10.8318 Å
α = 21.69°, β = 21.69°, γ = 21.69°
Fractional coordinates of all 7 atoms:
Tb 0.0000 0.0000 0.0000
Ho 0.1198 0.1198 0.1198
Ho 0.8802 0.8802 0.8802
Cu 0.3959 0.3959 0.3959
Cu 0.6041 0.6041 0.6041
Si 0.2715 0.2715 0.2715
Si 0.7285 0.7285 0.7285

Calculated values
The density comes out at 7.3 g cm⁻³. The space group is R-3m. The total energy is -36.354 eV per cell.

VASP calculation (GGA-PBE) on a geometry-optimized Ca2CuSn structure.

a = 3.5962 Å, b = 3.5962 Å, c = 7.8723 Å
α = 90.00°, β = 90.00°, γ = 90.00°
Fractional coordinates of all 4 atoms:
Ca 0.0000 0.0000 0.2273
Ca 0.0000 0.0000 0.7727
Cu 0.5000 0.5000 0.0000
Sn 0.5000 0.5000 0.5000

Calculated values
The density comes out at 4.3 g cm⁻³. The space group is P4/mmm. The total energy is -13.534 eV per cell. The value obtained for the formation energy is -0.358 eV/atom.

VASP calculation (GGA-PBE) on a geometry-optimized TbScS2 structure.

a = 3.6833 Å, b = 3.6833 Å, c = 6.7975 Å
α = 90.00°, β = 90.00°, γ = 120.00°
Fractional coordinates of all 4 atoms:
Tb 0.0000 0.0000 0.0000
Sc 0.0000 0.0000 0.5000
S 0.3333 0.6667 0.7315
S 0.6667 0.3333 0.2685

Calculated values
The density comes out at 5.6 g cm⁻³. The relative energy among the computed polymorphs is 0.304 eV/f.u. The space group is P-3m1. The total energy is -26.632 eV per cell.

VASP calculation (GGA-PBE) on a geometry-optimized HfTiWAu structure.

a = 6.5628 Å, b = 6.5628 Å, c = 6.5628 Å
α = 90.00°, β = 90.00°, γ = 90.00°
Fractional coordinates of all 16 atoms:
Hf 0.0000 0.0000 0.0000
Hf 0.0000 0.5000 0.5000
Hf 0.5000 0.0000 0.5000
Hf 0.5000 0.5000 0.0000
Ti 0.0000 0.0000 0.5000
Ti 0.0000 0.5000 0.0000
Ti 0.5000 0.0000 0.0000
Ti 0.5000 0.5000 0.5000
W 0.2500 0.2500 0.7500
W 0.2500 0.7500 0.2500
W 0.7500 0.2500 0.2500
W 0.7500 0.7500 0.7500
Au 0.2500 0.2500 0.2500
Au 0.2500 0.7500 0.7500
Au 0.7500 0.2500 0.7500
Au 0.7500 0.7500 0.2500

Calculated values
The density comes out at 14.3 g cm⁻³. The space group is F-43m. The total energy is -138.613 eV per cell. The value obtained for the formation energy is -0.144 eV/atom.

VASP calculation (GGA-PBE) on a geometry-optimized TaTlCo2 structure.

a = 3.9784 Å, b = 3.2947 Å, c = 9.4992 Å
α = 90.00°, β = 90.00°, γ = 90.00°
Fractional coordinates of all 8 atoms:
Ta 0.0000 0.0000 0.0000
Ta 0.0000 0.5000 0.5000
Tl 0.5000 0.0000 0.7147
Tl 0.5000 0.5000 0.2147
Co 0.0000 0.0000 0.2991
Co 0.0000 0.5000 0.7991
Co 0.5000 0.0000 0.4451
Co 0.5000 0.5000 0.9451

Calculated values
The density comes out at 13.4 g cm⁻³. The relative energy among the computed polymorphs is 0.696 eV/f.u. The space group is Amm2. The total energy is -54.613 eV per cell. The value obtained for the formation energy is 0.281 eV/atom.

VASP calculation (GGA-PBE) on a geometry-optimized Tl2Cd2Hg structure.

a = 6.4612 Å, b = 6.4612 Å, c = 7.8079 Å
α = 90.00°, β = 90.00°, γ = 67.32°
Fractional coordinates of all 10 atoms:
Tl 0.2382 0.2382 0.0000
Tl 0.2382 0.2382 0.5000
Tl 0.7618 0.7618 0.0000
Tl 0.7618 0.7618 0.5000
Cd 0.3060 0.6940 0.5642
Cd 0.3060 0.6940 0.9358
Cd 0.6940 0.3060 0.0642
Cd 0.6940 0.3060 0.4358
Hg 0.0810 0.9190 0.2500
Hg 0.9190 0.0810 0.7500

Calculated values
The density comes out at 9.2 g cm⁻³. The relative energy among the computed polymorphs is 0.207 eV/f.u. The space group is Cmcm. The total energy is -12.907 eV per cell. The value obtained for the formation energy is 0.082 eV/atom.